PrAl22O34 at its PBEsol-relaxed geometry. Source: Alexandria, functional meta-GGA SCAN.

Computed properties:
* formation energy from raw total energies: -3.311 eV/atom
* energy: -614.47 eV/cell

Lattice parameters (Å, degrees): 5.6101 9.7137 11.6992 105.68 90.10 90.05
Positions (direct):
Pr 0.0000 0.0000 0.0000
Al 0.1980 0.5361 0.3040
Al 0.2030 0.8402 0.7265
Al 0.2054 0.0387 0.3128
Al 0.2054 0.3462 0.7403
Al 0.4469 0.2378 0.1668
Al 0.4513 0.0425 0.5729
Al 0.4506 0.1391 0.8796
Al 0.4511 0.7879 0.3070
Al 0.4515 0.3409 0.4711
Al 0.4526 0.6880 0.5192
Al 0.4535 0.5940 0.7398
Al 0.6992 0.0375 0.3095
Al 0.7011 0.5350 0.3024
Al 0.7007 0.8428 0.7306
Al 0.7024 0.3471 0.7406
Al 0.9492 0.2894 0.3056
Al 0.9503 0.8404 0.4671
Al 0.9510 0.0936 0.7318
Al 0.9515 0.1934 0.5233
Al 0.9505 0.5395 0.5700
Al 0.9510 0.7460 0.1704
Al 0.9545 0.6438 0.8764
O 0.1848 0.2360 0.4226
O 0.1863 0.1451 0.6231
O 0.1949 0.0305 0.8119
O 0.2006 0.3461 0.2334
O 0.2017 0.8496 0.2353
O 0.2033 0.5373 0.8154
O 0.2147 0.6460 0.6211
O 0.2159 0.7363 0.4221
O 0.3391 0.1596 0.0225
O 0.4492 0.5983 0.2363
O 0.4508 0.0946 0.2347
O 0.4513 0.7853 0.8046
O 0.4518 0.5009 0.4223
O 0.4522 0.9893 0.4136
O 0.4528 0.3942 0.6350
O 0.4528 0.8813 0.6220
O 0.4549 0.2842 0.8148
O 0.6853 0.7362 0.4215
O 0.6882 0.6463 0.6223
O 0.6996 0.3440 0.2275
O 0.7002 0.8485 0.2349
O 0.7040 0.5379 0.8159
O 0.7138 0.0340 0.8216
O 0.7176 0.1445 0.6236
O 0.7186 0.2362 0.4211
O 0.9481 0.4878 0.4087
O 0.9490 0.8944 0.6301
O 0.9499 0.5946 0.2271
O 0.9512 0.0048 0.4223
O 0.9514 0.3811 0.6228
O 0.9544 0.0947 0.2314
O 0.9539 0.2824 0.8074
O 0.9539 0.7946 0.8129
O 0.9560 0.7484 0.0224